No. 1
8
Lattice="-3.190 3.190 6.352 3.190 -3.190 6.352 3.190 3.190 -6.352" Properties=species:S:1:pos:R:3 comment="TlHg3Se4 (PBE, optimized geometry)" raw_formation_energy_ev_per_atom=-0.19 dft_energy_ev_per_atom=-2.346 pbc="T T T"
Tl 0.000 0.000 0.000
Hg 3.190 0.000 3.176
Hg 0.000 0.000 6.352
Hg 0.000 3.190 3.176
Se 1.659 1.659 -1.644
Se 1.531 -1.531 7.995
Se 1.531 1.531 4.708
Se -1.531 1.531 7.995



No. 2
9
Lattice="-2.074 2.074 8.947 2.074 -2.074 8.947 2.074 2.074 -8.947" Properties=species:S:1:pos:R:3 comment="CePu2F6 (PBE, optimized geometry)" raw_formation_energy_ev_per_atom=-3.18 dft_energy_ev_per_atom=-8.274 pbc="T T T"
Ce 0.000 0.000 0.000
Pu 0.000 0.000 5.941
Pu 0.000 0.000 11.954
F 2.074 0.000 1.414
F 2.074 0.000 4.474
F 2.074 0.000 7.534
F 0.000 2.074 1.414
F 0.000 2.074 4.474
F 0.000 2.074 7.534



Repeat the second record exactly.
9
Lattice="-2.074 2.074 8.947 2.074 -2.074 8.947 2.074 2.074 -8.947" Properties=species:S:1:pos:R:3 comment="CePu2F6 (PBE, optimized geometry)" raw_formation_energy_ev_per_atom=-3.18 dft_energy_ev_per_atom=-8.274 pbc="T T T"
Ce 0.000 0.000 0.000
Pu 0.000 0.000 5.941
Pu 0.000 0.000 11.954
F 2.074 0.000 1.414
F 2.074 0.000 4.474
F 2.074 0.000 7.534
F 0.000 2.074 1.414
F 0.000 2.074 4.474
F 0.000 2.074 7.534